Entry 1:
Material: SrPrGaGe
Method: DFT, PBE
State: optimized geometry

## Properties
**Electronic total energy**: -16.6 eV/cell

a b c (Å): 4.2115 6.2193 6.2193
angles (deg): 43.66 90.00 90.00
With the nearest neighbours (Å) after each atom.
Positions (direct):
Sr (0.0000, 0.0000, 0.0000)  4 Ga 3.25, 3 Ge 3.26-3.41
Pr (0.5000, 0.2772, 0.2772)  4 Ge 3.20, 3 Ga 3.28-3.44
Ga (0.5000, 0.5753, 0.5753)  2 Ge 2.67
Ge (0.0000, 0.7175, 0.7175)  2 Ga 2.67

Entry 2:
Material: Nd2MgCu
Method: DFT, PBE
State: optimized geometry

## Properties
**Electronic total energy**: -15.4 eV/cell
**E above lowest polymorph**: 28 kJ/mol of formula units

a b c (Å): 5.2961 5.2961 5.2961
angles (deg): 60.00 60.00 60.00
With the nearest neighbours (Å) after each atom.
Positions (direct):
Nd (0.2500, 0.2500, 0.2500)  4 Mg 3.24, 4 Cu 3.24
Nd (0.7500, 0.7500, 0.7500)  4 Mg 3.24, 4 Cu 3.24
Mg (0.0000, 0.0000, 0.0000)  8 Nd 3.24
Cu (0.5000, 0.5000, 0.5000)  8 Nd 3.24

Entry 3:
Material: Pm6ReO12
Method: DFT, PBE
State: optimized geometry

## Properties
**Electronic total energy**: -158.6 eV/cell
**Raw formation energy**: -3.0602 eV per atom

a b c (Å): 6.6734 6.6734 6.6734
angles (deg): 98.56 98.56 98.56
With the nearest neighbours (Å) after each atom.
Positions (direct):
Pm (0.1111, 0.8104, 0.6442)  6 O 2.28-2.52
Pm (0.1896, 0.3558, 0.8889)  6 O 2.28-2.52
Pm (0.3558, 0.8889, 0.1896)  6 O 2.28-2.52
Pm (0.6442, 0.1111, 0.8104)  6 O 2.28-2.52
Pm (0.8104, 0.6442, 0.1111)  6 O 2.28-2.52
Pm (0.8889, 0.1896, 0.3558)  6 O 2.28-2.52
Re (0.5000, 0.5000, 0.5000)  6 O 1.97
O (0.0616, 0.9079, 0.3227)  4 Pm 2.28-2.36
O (0.0921, 0.6773, 0.9384)  4 Pm 2.28-2.36
O (0.2111, 0.4304, 0.5334)  1 Re 1.97
O (0.3227, 0.0616, 0.9079)  4 Pm 2.28-2.36
O (0.4304, 0.5334, 0.2111)  1 Re 1.97
O (0.4666, 0.7889, 0.5696)  1 Re 1.97
O (0.5334, 0.2111, 0.4304)  1 Re 1.97
O (0.5696, 0.4666, 0.7889)  1 Re 1.97
O (0.6773, 0.9384, 0.0921)  4 Pm 2.28-2.36
O (0.7889, 0.5696, 0.4666)  1 Re 1.97
O (0.9079, 0.3227, 0.0616)  4 Pm 2.28-2.36
O (0.9384, 0.0921, 0.6773)  4 Pm 2.28-2.36

Entry 4:
Material: Zr2W2I
Method: DFT, PBE
State: optimized geometry

## Properties
**Electronic total energy**: -42.6 eV/cell
**Raw formation energy**: 0.3825 eV per atom
**E above lowest polymorph**: 0 kJ/mol of formula units

a b c (Å): 8.8081 8.8081 8.8081
angles (deg): 155.50 155.50 34.93
With the nearest neighbours (Å) after each atom.
Positions (direct):
Zr (0.1199, 0.1199, 0.0000)  4 W 2.88
Zr (0.8801, 0.8801, 0.0000)  4 W 2.88
W (0.2500, 0.7500, 0.5000)  4 W 2.64, 4 Zr 2.88
W (0.7500, 0.2500, 0.5000)  4 W 2.64, 4 Zr 2.88
I (0.5000, 0.5000, 0.0000)  8 Zr 3.32

Asked for Fermi-level density of states across the records above, the calculation gives 2.1; 4.7; 6.1; 5.0 states/eV/cell in order.